(1)
First-principles (PBE-GGA) data for a relaxed AgSeF3 crystal, as listed in Alexandria.

Lattice parameters (Å, degrees): 4.391 4.391 4.391 90.00 90.00 90.00
Space group Pm-3m (No. 221)
Inequivalent atoms, fractional coordinates:
Ag  0.000  0.000  0.000
Se  0.500  0.500  0.500
F  0.000  0.000  0.500

Calculated values
E_form (uncorrected)	-0.57	eV per atom
relative energy among the computed polymorphs	0.6120	eV/atom


(2)
First-principles (PBE-GGA) data for a relaxed TeAsS2Cl crystal, as listed in Alexandria.

Lattice parameters (Å, degrees): 4.917 4.917 4.739 90.00 90.00 90.00
Space group P4/mmm (No. 123)
Inequivalent atoms, fractional coordinates:
Te  0.000  0.000  0.000
As  0.500  0.500  0.500
S  0.000  0.500  0.500
Cl  0.500  0.500  0.000

Calculated values
E_form (uncorrected)	0.38	eV per atom
relative energy among the computed polymorphs	0.0000	eV/atom


(3)
First-principles (PBE-GGA) data for a relaxed Co2NiSb crystal, as listed in Alexandria.

Lattice parameters (Å, degrees): 3.820 3.820 7.002 90.00 90.00 90.00
Space group I4/mmm (No. 139)
Inequivalent atoms, fractional coordinates:
Co  0.000  0.500  0.250
Ni  0.000  0.000  0.000
Sb  0.000  0.000  0.500

Calculated values
E_form (uncorrected)	0.02	eV per atom


(4)
First-principles (PBE-GGA) data for a relaxed Li2ZrPb2 crystal, as listed in Alexandria.

Lattice parameters (Å, degrees): 8.220 8.220 3.274 90.00 90.00 90.00
Space group P4/mbm (No. 127)
Inequivalent atoms, fractional coordinates:
Li  0.133  0.367  0.000
Zr  0.000  0.000  0.500
Pb  0.166  0.666  0.500

Calculated values
energy of formation from the pure elements	-0.123	eV per atom
relative energy among the computed polymorphs	0.0341	eV/atom


(5)
First-principles (PBE-GGA) data for a relaxed LiCuPO2 crystal, as listed in Alexandria.

Lattice parameters (Å, degrees): 3.546 3.546 4.739 90.00 90.00 90.00
Space group P4/mmm (No. 123)
Inequivalent atoms, fractional coordinates:
Li  0.000  0.000  0.000
Cu  0.500  0.500  0.500
P  0.000  0.000  0.500
O  0.000  0.500  0.000

Calculated values
E_form (uncorrected)	0.40	eV per atom
relative energy among the computed polymorphs	0.2716	eV/atom


(6)
First-principles (PBE-GGA) data for a relaxed TePb4Se crystal, as listed in Alexandria.

Lattice parameters (Å, degrees): 9.135 9.135 9.135 90.00 90.00 90.00
Space group F-43m (No. 216)
Inequivalent atoms, fractional coordinates:
Te  0.000  0.000  0.000
Pb  0.125  0.125  0.625
Se  0.250  0.250  0.250

Calculated values
E_form (uncorrected)	0.22	eV per atom


(7)
First-principles (PBE-GGA) data for a relaxed Pu2Mn5Ge3H2 crystal, as listed in Alexandria.

Lattice parameters (Å, degrees): 3.773 3.773 23.378 90.00 90.00 90.00
Space group I4/mmm (No. 139)
Inequivalent atoms, fractional coordinates:
Pu  0.000  0.000  0.204
Mn  0.000  0.000  0.500
Mn  0.000  0.500  0.081
Ge  0.000  0.000  0.000
Ge  0.000  0.000  0.342
H  0.000  0.000  0.426

Calculated values
VASP energy	-7.99	eV/atom


(8)
First-principles (PBE-GGA) data for a relaxed YIn4Te crystal, as listed in Alexandria.

Lattice parameters (Å, degrees): 8.661 8.661 8.661 90.00 90.00 90.00
Space group F-43m (No. 216)
Inequivalent atoms, fractional coordinates:
Y  0.000  0.000  0.000
In  0.126  0.126  0.626
Te  0.250  0.250  0.250

Calculated values
E_form (uncorrected)	-0.13	eV per atom